## LaY2HoTm5 (PBE-GGA)

Data for crystalline LaY2HoTm5 at its relaxed geometry.

```
LaY2HoTm5
1.0
-4.424 2.227 -2.587
-3.729 -5.233 7.908
0.783 8.589 6.053
Ho Tm Y La
2 10 4 2
direct
0.202 0.403 0.012 Ho
0.798 0.597 0.512 Ho
0.718 0.436 0.812 Tm
0.387 0.775 0.022 Tm
0.297 0.594 0.710 Tm
0.703 0.406 0.210 Tm
0.018 0.037 0.027 Tm
0.480 0.960 0.736 Tm
0.982 0.963 0.527 Tm
0.282 0.564 0.312 Tm
0.613 0.225 0.522 Tm
0.520 0.040 0.236 Tm
0.111 0.222 0.732 Y
0.887 0.775 0.819 Y
0.889 0.778 0.232 Y
0.113 0.225 0.319 Y
0.419 0.839 0.453 La
0.581 0.161 0.953 La
```



## LaHoTmZn (PBE-GGA)

Data for crystalline LaHoTmZn at its relaxed geometry.

```
LaHoTmZn
1.0
-2.479 -1.006 -4.694
2.897 -1.411 -4.337
-0.256 -5.055 -1.892
La Zn Ho Tm
1 1 1 1
direct
0.500 0.500 0.500 La
0.250 0.250 0.250 Zn
0.000 0.000 0.000 Ho
0.750 0.750 0.750 Tm
```

## Properties
energy above the lowest structure with this stoichiometry = 68.9 kJ/mol of formula units



## LaHoTmZn (PBE-GGA)

Data for crystalline LaHoTmZn at its relaxed geometry.

```
LaHoTmZn
1.0
3.569 0.000 0.000
0.000 3.569 0.000
0.000 0.000 8.836
La Tm Zn Ho
1 1 1 1
direct
0.000 0.000 0.073 La
0.500 0.500 0.376 Tm
0.000 0.000 0.568 Zn
0.500 0.500 0.768 Ho
```

## Properties
energy above the lowest structure with this stoichiometry = 0.0 kJ/mol of formula units



## LaHoTmZr (PBE-GGA)

Data for crystalline LaHoTmZr at its relaxed geometry.

```
LaHoTmZr
1.0
5.519 0.000 0.000
2.759 4.779 0.000
2.759 1.593 4.506
Tm La Ho Zr
1 1 1 1
direct
0.500 0.500 0.500 Tm
0.750 0.750 0.750 La
0.000 0.000 0.000 Ho
0.250 0.250 0.250 Zr
```



What did we get for total energy? Answer: -4.8083, -3.7914, -3.9701, -5.4259 eV/atom, in the order shown.
What did we get for formation enthalpy at 0 K? Answer: 0.17, 0.02, -0.16, 0.21 eV/atom, in the order shown.